The following is a DFT calculation (PBE with a Hubbard U) of a relaxed structure of NbMoI2O.

Values from the calculation:
The calculation puts the total energy at -5.29 eV/atom. For the density, the calculation gives 5.6 Mg/m³. As for the space group: P4/mmm (123).

a b c (Å): 5.8797 5.8797 3.9420
angles (deg): 90.00 90.00 90.00
Last column: magnetic moment on the atom in μB.
Sites, in units of the cell vectors:
1 Mo 0.5000 0.5000 0.5000  4.24
2 I 0.5000 0.0000 0.0000  0.01
3 I 0.0000 0.5000 0.0000  0.01
4 O 0.0000 0.0000 0.5000  -0.06
5 Nb 0.0000 0.0000 0.0000  1.47